DFT (PBE) results for a relaxed structure of Ce3ErSe4.

Structure (CIF):
```
data_Ce3ErSe4
_space_group_name_H-M_alt 'C m m m'
_space_group_IT_number 65
_space_group_name_Hall '-C 2 2'
_cell_length_a 8.3589
_cell_length_b 11.7677
_cell_length_c 4.1383
_cell_angle_alpha 90.00
_cell_angle_beta 90.00
_cell_angle_gamma 90.00
loop_
_atom_site_label
_atom_site_type_symbol
_atom_site_fract_x
_atom_site_fract_y
_atom_site_fract_z
Ce1 Ce 0.0000 0.0000 0.0000
Ce2 Ce 0.2500 0.2500 0.5000
Er1 Er 0.0000 0.5000 0.0000
Se1 Se 0.0000 0.2555 0.0000
Se2 Se 0.2394 0.5000 0.5000
```

## Properties
- VASP energy (eV per formula unit) = -50.65
- ΔE_f (raw) (eV per atom) = -1.793

---

DFT (PBE) results for a relaxed structure of AlHS2.

Structure (CIF):
```
data_AlHS2
_space_group_name_H-M_alt 'C 1 2/m 1'
_space_group_IT_number 12
_cell_length_a 15.8295
_cell_length_b 3.4385
_cell_length_c 6.5195
_cell_angle_alpha 90.00
_cell_angle_beta 95.73
_cell_angle_gamma 90.00
loop_
_space_group_symop_operation_xyz
'x,y,z'
'-x,-y,-z'
'-x,y,-z'
'x,-y,z'
'x+1/2,y+1/2,z'
'-x+1/2,-y+1/2,-z'
'-x+1/2,y+1/2,-z'
'x+1/2,-y+1/2,z'
loop_
_atom_site_label
_atom_site_type_symbol
_atom_site_fract_x
_atom_site_fract_y
_atom_site_fract_z
Al1 Al 0.1755 0.0000 0.0588
H1 H 0.1323 0.5000 0.4253
S1 S 0.1009 0.5000 0.2225
S2 S 0.1846 0.5000 0.8053
```

## Properties
- VASP energy (eV per formula unit) = -18.15
- E above lowest polymorph (meV/atom) = 0

---

DFT (PBE) results for a relaxed structure of ScTeRu2.

Structure (CIF):
```
data_ScTeRu2
_space_group_name_H-M_alt 'P m m 2'
_space_group_IT_number 25
_cell_length_a 3.2368
_cell_length_b 4.0053
_cell_length_c 5.3871
_cell_angle_alpha 90.00
_cell_angle_beta 90.00
_cell_angle_gamma 90.00
loop_
_space_group_symop_operation_xyz
'x,y,z'
'-x,-y,z'
'-x,y,z'
'x,-y,z'
loop_
_atom_site_label
_atom_site_type_symbol
_atom_site_fract_x
_atom_site_fract_y
_atom_site_fract_z
Sc1 Sc 0.0000 0.0000 0.0000
Te1 Te 0.5000 0.5000 0.3240
Ru1 Ru 0.0000 0.0000 0.5058
Ru2 Ru 0.5000 0.5000 0.8167
```

## Properties
- VASP energy (eV per formula unit) = -28.59
- ΔE_f (raw) (eV per atom) = -0.142

---

DFT (PBE) results for a relaxed structure of Hf2VRu2.

Structure (CIF):
```
data_Hf2VRu2
_space_group_name_H-M_alt 'P 4/m b m'
_space_group_IT_number 127
_space_group_name_Hall '-P 4 2ab'
_cell_length_a 6.3551
_cell_length_b 6.3551
_cell_length_c 4.3507
_cell_angle_alpha 90.00
_cell_angle_beta 90.00
_cell_angle_gamma 90.00
loop_
_atom_site_label
_atom_site_type_symbol
_atom_site_fract_x
_atom_site_fract_y
_atom_site_fract_z
Hf1 Hf 0.1781 0.3219 0.0000
V1 V 0.0000 0.0000 0.5000
Ru1 Ru 0.1441 0.6441 0.5000
```

## Properties
- energy of formation (meV per atom) = -323
- VASP energy (eV per formula unit) = -49.19

---

DFT (PBE) results for a relaxed structure of LaNd6Th.

Structure (CIF):
```
data_LaNd6Th
_space_group_name_H-M_alt 'P -1'
_space_group_IT_number 2
_cell_length_a 6.6814
_cell_length_b 6.9224
_cell_length_c 6.9568
_cell_angle_alpha 61.18
_cell_angle_beta 89.85
_cell_angle_gamma 82.58
loop_
_space_group_symop_operation_xyz
'x,y,z'
'-x,-y,-z'
loop_
_atom_site_label
_atom_site_type_symbol
_atom_site_fract_x
_atom_site_fract_y
_atom_site_fract_z
La1 La 0.0000 0.0000 0.0000
Nd1 Nd 0.2387 0.5171 0.5789
Nd2 Nd 0.2561 0.0008 0.5485
Nd3 Nd 0.2711 0.4748 0.0964
Th1 Th 0.5000 0.0000 0.0000
```

## Properties
- energy of formation (meV per atom) = 184
- VASP energy (eV per formula unit) = -39.48
- E above lowest polymorph (meV/atom) = 153

---

DFT (PBE) results for a relaxed structure of TbPr3Th4Se8.

Structure (CIF):
```
data_TbPr3Th4Se8
_space_group_name_H-M_alt 'R -3 m'
_space_group_IT_number 166
_space_group_name_Hall '-R 3 2"'
_cell_length_a 8.3324
_cell_length_b 8.3324
_cell_length_c 21.0758
_cell_angle_alpha 90.00
_cell_angle_beta 90.00
_cell_angle_gamma 120.00
loop_
_atom_site_label
_atom_site_type_symbol
_atom_site_fract_x
_atom_site_fract_y
_atom_site_fract_z
Tb1 Tb 0.0000 0.0000 0.0000
Pr1 Pr 0.0000 0.5000 0.0000
Th1 Th 0.0000 0.0000 0.5000
Th2 Th 0.0000 0.5000 0.5000
Se1 Se 0.0000 0.0000 0.2496
Se2 Se 0.0065 0.5032 0.7488
```

## Properties
- VASP energy (eV per formula unit) = -103.32
- ΔE_f (raw) (eV per atom) = -1.675

---

DFT (PBE) results for a relaxed structure of NaSr2HoBr8.

Structure (CIF):
```
data_NaSr2HoBr8
_space_group_name_H-M_alt 'P 1 2/m 1'
_space_group_IT_number 10
_cell_length_a 6.8718
_cell_length_b 9.1486
_cell_length_c 7.0448
_cell_angle_alpha 90.00
_cell_angle_beta 90.58
_cell_angle_gamma 90.00
loop_
_space_group_symop_operation_xyz
'x,y,z'
'-x,-y,-z'
'-x,y,-z'
'x,-y,z'
loop_
_atom_site_label
_atom_site_type_symbol
_atom_site_fract_x
_atom_site_fract_y
_atom_site_fract_z
Na1 Na 0.0000 0.0000 0.0000
Sr1 Sr 0.5000 0.2453 0.5000
Ho1 Ho 0.0000 0.5000 0.0000
Br1 Br 0.2139 0.2743 0.8350
Br2 Br 0.2596 0.5000 0.3167
Br3 Br 0.2737 0.0000 0.3207
```

## Properties
- VASP energy (eV per formula unit) = -45.71
- ΔE_f (raw) (eV per atom) = -1.922

---

DFT (PBE) results for a relaxed structure of NaCaSnBr5.

Structure (CIF):
```
data_NaCaSnBr5
_space_group_name_H-M_alt 'C 1 2/c 1'
_space_group_IT_number 15
_cell_length_a 10.0553
_cell_length_b 13.3821
_cell_length_c 9.8556
_cell_angle_alpha 90.00
_cell_angle_beta 110.04
_cell_angle_gamma 90.00
loop_
_space_group_symop_operation_xyz
'x,y,z'
'-x,-y,-z'
'-x,y,-z+1/2'
'x,-y,z+1/2'
'x+1/2,y+1/2,z'
'-x+1/2,-y+1/2,-z'
'-x+1/2,y+1/2,-z+1/2'
'x+1/2,-y+1/2,z+1/2'
loop_
_atom_site_label
_atom_site_type_symbol
_atom_site_fract_x
_atom_site_fract_y
_atom_site_fract_z
Na1 Na 0.0000 0.0051 0.2500
Ca1 Ca 0.2500 0.2500 0.0000
Sn1 Sn 0.0000 0.4842 0.7500
Br1 Br 0.0000 0.2088 0.7500
Br2 Br 0.0261 0.3606 0.0681
Br3 Br 0.1884 0.0549 0.0984
```

## Properties
- VASP energy (eV per formula unit) = -26.77
- ΔE_f (raw) (eV per atom) = -1.385

---

DFT (PBE) results for a relaxed structure of PuMgGe.

Structure (CIF):
```
data_PuMgGe
_space_group_name_H-M_alt 'P 1 21/m 1'
_space_group_IT_number 11
_cell_length_a 4.3632
_cell_length_b 3.5042
_cell_length_c 7.8045
_cell_angle_alpha 90.00
_cell_angle_beta 100.23
_cell_angle_gamma 90.00
loop_
_space_group_symop_operation_xyz
'x,y,z'
'-x,-y,-z'
'-x,y+1/2,-z'
'x,-y+1/2,z'
loop_
_atom_site_label
_atom_site_type_symbol
_atom_site_fract_x
_atom_site_fract_y
_atom_site_fract_z
Pu1 Pu 0.1216 0.2500 0.0843
Mg1 Mg 0.2363 0.7500 0.4637
Ge1 Ge 0.3381 0.2500 0.7549
```

## Properties
- energy of formation (meV per atom) = -114
- VASP energy (eV per formula unit) = -20.89

---

DFT (PBE) results for a relaxed structure of LaScZnSn.

Structure (CIF):
```
data_LaScZnSn
_space_group_name_H-M_alt 'F -4 3 m'
_space_group_IT_number 216
_space_group_name_Hall 'F -4 2 3'
_cell_length_a 7.3548
_cell_length_b 7.3548
_cell_length_c 7.3548
_cell_angle_alpha 90.00
_cell_angle_beta 90.00
_cell_angle_gamma 90.00
loop_
_atom_site_label
_atom_site_type_symbol
_atom_site_fract_x
_atom_site_fract_y
_atom_site_fract_z
La1 La 0.0000 0.0000 0.0000
Sc1 Sc 0.0000 0.0000 0.5000
Zn1 Zn 0.2500 0.2500 0.2500
Sn1 Sn 0.2500 0.2500 0.7500
```

## Properties
- energy of formation (meV per atom) = -474
- VASP energy (eV per formula unit) = -18.43

---

DFT (PBE) results for a relaxed structure of Y3HgPb3.

Structure (CIF):
```
data_Y3HgPb3
_space_group_name_H-M_alt 'P 21 3'
_space_group_IT_number 198
_space_group_name_Hall 'P 2ac 2ab 3'
_cell_length_a 9.3281
_cell_length_b 9.3281
_cell_length_c 9.3281
_cell_angle_alpha 90.00
_cell_angle_beta 90.00
_cell_angle_gamma 90.00
loop_
_atom_site_label
_atom_site_type_symbol
_atom_site_fract_x
_atom_site_fract_y
_atom_site_fract_z
Y1 Y 0.0127 0.2134 0.8645
Hg1 Hg 0.0580 0.5580 0.9420
Pb1 Pb 0.0991 0.4009 0.5991
Pb2 Pb 0.1449 0.8551 0.3551
Pb3 Pb 0.1793 0.1793 0.1793
```

## Properties
- energy of formation (meV per atom) = -396
- VASP energy (eV per formula unit) = -33.59

---

DFT (PBE) results for a relaxed structure of Zn2Bi2Te.

Structure (CIF):
```
data_Zn2Bi2Te
_space_group_name_H-M_alt 'I 4/m m m'
_space_group_IT_number 139
_space_group_name_Hall '-I 4 2'
_cell_length_a 3.9183
_cell_length_b 3.9183
_cell_length_c 17.0113
_cell_angle_alpha 90.00
_cell_angle_beta 90.00
_cell_angle_gamma 90.00
loop_
_atom_site_label
_atom_site_type_symbol
_atom_site_fract_x
_atom_site_fract_y
_atom_site_fract_z
Zn1 Zn 0.0000 0.5000 0.2500
Bi1 Bi 0.0000 0.0000 0.1177
Te1 Te 0.0000 0.0000 0.5000
```

## Properties
- VASP energy (eV per formula unit) = -12.92
- E above lowest polymorph (meV/atom) = 0
- ΔE_f (raw) (eV per atom) = 0.106

---

DFT (PBE) results for a relaxed structure of CdIn2Te.

Structure (CIF):
```
data_CdIn2Te
_space_group_name_H-M_alt 'P 1 2/m 1'
_space_group_IT_number 10
_cell_length_a 3.1756
_cell_length_b 4.3394
_cell_length_c 8.1918
_cell_angle_alpha 90.00
_cell_angle_beta 90.04
_cell_angle_gamma 90.00
loop_
_space_group_symop_operation_xyz
'x,y,z'
'-x,-y,-z'
'-x,y,-z'
'x,-y,z'
loop_
_atom_site_label
_atom_site_type_symbol
_atom_site_fract_x
_atom_site_fract_y
_atom_site_fract_z
Cd1 Cd 0.0000 0.0000 0.0000
In1 In 0.4959 0.5000 0.2258
Te1 Te 0.5000 0.0000 0.5000
```

## Properties
- VASP energy (eV per formula unit) = -9.79
- E above lowest polymorph (meV/atom) = 56
- ΔE_f (raw) (eV per atom) = -0.065

---

DFT (PBE) results for a relaxed structure of CrInAs2.

Structure (CIF):
```
data_CrInAs2
_space_group_name_H-M_alt 'I -4 2 d'
_space_group_IT_number 122
_space_group_name_Hall 'I -4 2bw'
_cell_length_a 5.8797
_cell_length_b 5.8797
_cell_length_c 11.9956
_cell_angle_alpha 90.00
_cell_angle_beta 90.00
_cell_angle_gamma 90.00
loop_
_atom_site_label
_atom_site_type_symbol
_atom_site_fract_x
_atom_site_fract_y
_atom_site_fract_z
Cr1 Cr 0.0000 0.0000 0.0000
In1 In 0.0000 0.0000 0.5000
As1 As 0.2123 0.2500 0.1250
```

## Properties
- energy of formation (meV per atom) = 47
- VASP energy (eV per formula unit) = -21.47

---

DFT (PBE) results for a relaxed structure of Al2Pd3Au2.

Structure (CIF):
```
data_Al2Pd3Au2
_space_group_name_H-M_alt 'C 1 2/m 1'
_space_group_IT_number 12
_cell_length_a 8.8644
_cell_length_b 3.9012
_cell_length_c 6.6787
_cell_angle_alpha 90.00
_cell_angle_beta 104.86
_cell_angle_gamma 90.00
loop_
_space_group_symop_operation_xyz
'x,y,z'
'-x,-y,-z'
'-x,y,-z'
'x,-y,z'
'x+1/2,y+1/2,z'
'-x+1/2,-y+1/2,-z'
'-x+1/2,y+1/2,-z'
'x+1/2,-y+1/2,z'
loop_
_atom_site_label
_atom_site_type_symbol
_atom_site_fract_x
_atom_site_fract_y
_atom_site_fract_z
Al1 Al 0.1816 0.0000 0.1969
Pd1 Pd 0.0000 0.5000 0.0000
Pd2 Pd 0.1316 0.5000 0.4305
Au1 Au 0.1129 0.0000 0.7616
```

## Properties
- energy of formation (meV per atom) = -548
- VASP energy (eV per formula unit) = -33.45
- E above lowest polymorph (meV/atom) = 0

---

DFT (PBE) results for a relaxed structure of Tl2SiAu.

Structure (CIF):
```
data_Tl2SiAu
_space_group_name_H-M_alt 'P m m 2'
_space_group_IT_number 25
_cell_length_a 3.3407
_cell_length_b 3.4454
_cell_length_c 8.6668
_cell_angle_alpha 90.00
_cell_angle_beta 90.00
_cell_angle_gamma 90.00
loop_
_space_group_symop_operation_xyz
'x,y,z'
'-x,-y,z'
'-x,y,z'
'x,-y,z'
loop_
_atom_site_label
_atom_site_type_symbol
_atom_site_fract_x
_atom_site_fract_y
_atom_site_fract_z
Tl1 Tl 0.0000 0.0000 0.0000
Tl2 Tl 0.5000 0.5000 0.3451
Si1 Si 0.5000 0.5000 0.7319
Au1 Au 0.0000 0.0000 0.6173
```

## Properties
- VASP energy (eV per formula unit) = -12.89
- E above lowest polymorph (meV/atom) = 109
- ΔE_f (raw) (eV per atom) = 0.136

---

DFT (PBE) results for a relaxed structure of Rb2ErSiS4.

Structure (CIF):
```
data_Rb2ErSiS4
_space_group_name_H-M_alt 'F d d d'
_space_group_IT_number 70
_cell_length_a 6.4936
_cell_length_b 14.0928
_cell_length_c 24.8084
_cell_angle_alpha 90.00
_cell_angle_beta 90.00
_cell_angle_gamma 90.00
loop_
_space_group_symop_operation_xyz
'x,y,z'
'-x,-y,-z'
'-x+1/4,-y+1/4,z'
'x+1/4,y+1/4,-z'
'x,-y+1/4,-z+1/4'
'-x,y+1/4,z+1/4'
'-x+1/4,y,-z+1/4'
'x+1/4,-y,z+1/4'
'x,y+1/2,z+1/2'
'-x,-y+1/2,-z+1/2'
'-x+1/4,-y+3/4,z+1/2'
'x+1/4,y+3/4,-z+1/2'
'x,-y+3/4,-z+3/4'
'-x,y+3/4,z+3/4'
'-x+1/4,y+1/2,-z+3/4'
'x+1/4,-y+1/2,z+3/4'
'x+1/2,y,z+1/2'
'-x+1/2,-y,-z+1/2'
'-x+3/4,-y+1/4,z+1/2'
'x+3/4,y+1/4,-z+1/2'
'x+1/2,-y+1/4,-z+3/4'
'-x+1/2,y+1/4,z+3/4'
'-x+3/4,y,-z+3/4'
'x+3/4,-y,z+3/4'
'x+1/2,y+1/2,z'
'-x+1/2,-y+1/2,-z'
'-x+3/4,-y+3/4,z'
'x+3/4,y+3/4,-z'
'x+1/2,-y+3/4,-z+1/4'
'-x+1/2,y+3/4,z+1/4'
'-x+3/4,y+1/2,-z+1/4'
'x+3/4,-y+1/2,z+1/4'
loop_
_atom_site_label
_atom_site_type_symbol
_atom_site_fract_x
_atom_site_fract_y
_atom_site_fract_z
Rb1 Rb 0.1250 0.1250 0.3057
Er1 Er 0.1250 0.1250 0.1250
Si1 Si 0.1250 0.1250 0.6250
S1 S 0.0796 0.2852 0.8273
```

## Properties
- VASP energy (eV per formula unit) = -37.43
- ΔE_f (raw) (eV per atom) = -1.124

---

DFT (PBE) results for a relaxed structure of V7Cr2Ru3.

Structure (CIF):
```
data_V7Cr2Ru3
_space_group_name_H-M_alt 'C m m m'
_space_group_IT_number 65
_space_group_name_Hall '-C 2 2'
_cell_length_a 4.1030
_cell_length_b 19.9734
_cell_length_c 4.2305
_cell_angle_alpha 90.00
_cell_angle_beta 90.00
_cell_angle_gamma 90.00
loop_
_atom_site_label
_atom_site_type_symbol
_atom_site_fract_x
_atom_site_fract_y
_atom_site_fract_z
V1 V 0.0000 0.0000 0.0000
V2 V 0.0000 0.0787 0.5000
V3 V 0.0000 0.2861 0.0000
V4 V 0.0000 0.4264 0.0000
Cr1 Cr 0.0000 0.1465 0.0000
Ru1 Ru 0.0000 0.3486 0.5000
Ru2 Ru 0.0000 0.5000 0.5000
```

## Properties
- energy of formation (meV per atom) = 146
- VASP energy (eV per formula unit) = -109.15

---

DFT (PBE) results for a relaxed structure of EuIn3.

Structure (CIF):
```
data_EuIn3
_space_group_name_H-M_alt 'P m -3 m'
_space_group_IT_number 221
_space_group_name_Hall '-P 4 2 3'
_cell_length_a 4.7415
_cell_length_b 4.7415
_cell_length_c 4.7415
_cell_angle_alpha 90.00
_cell_angle_beta 90.00
_cell_angle_gamma 90.00
loop_
_atom_site_label
_atom_site_type_symbol
_atom_site_fract_x
_atom_site_fract_y
_atom_site_fract_z
Eu1 Eu 0.0000 0.0000 0.0000
In1 In 0.0000 0.5000 0.5000
```

## Properties
- energy of formation (meV per atom) = -380
- VASP energy (eV per formula unit) = -20.01

---

DFT (PBE) results for a relaxed structure of CdNi4.

Structure (CIF):
```
data_CdNi4
_space_group_name_H-M_alt 'I 4/m m m'
_space_group_IT_number 139
_space_group_name_Hall '-I 4 2'
_cell_length_a 3.4898
_cell_length_b 3.4898
_cell_length_c 11.1896
_cell_angle_alpha 90.00
_cell_angle_beta 90.00
_cell_angle_gamma 90.00
loop_
_atom_site_label
_atom_site_type_symbol
_atom_site_fract_x
_atom_site_fract_y
_atom_site_fract_z
Cd1 Cd 0.0000 0.0000 0.0000
Ni1 Ni 0.0000 0.0000 0.3957
Ni2 Ni 0.0000 0.5000 0.2500
```

## Properties
- energy of formation (meV per atom) = 254
- VASP energy (eV per formula unit) = -22.77
- E above lowest polymorph (meV/atom) = 141